Entry 1:
## Tb2NdRu (PBE)

Data for a geometry-optimized Tb2NdRu structure.

Values from the calculation:
Calculated formation energy (eV per atom): 0.102
E (eV/atom): -5.724
Energy above the lowest structure with this stoichiometry (meV per atom): 368
Fermi-level density of states (states/eV per atom): 1.481

```
data_Tb2NdRu
_chemical_formula_sum 'Tb6 Nd3 Ru3'
_space_group_name_H-M_alt 'R -3 m'
_space_group_IT_number 166
_space_group_name_Hall '-R 3 2"'
_cell_length_a 3.5493
_cell_length_b 3.5493
_cell_length_c 32.4494
_cell_angle_alpha 90.00
_cell_angle_beta 90.00
_cell_angle_gamma 120.00
loop_
_atom_site_label
_atom_site_type_symbol
_atom_site_fract_x
_atom_site_fract_y
_atom_site_fract_z
Tb1 Tb 0.0000 0.0000 0.1088
Nd1 Nd 0.0000 0.0000 0.0000
Ru1 Ru 0.0000 0.0000 0.5000
```

---

Entry 2:
## Tc3NiC (PBE)

Data for a geometry-optimized Tc3NiC structure.

Values from the calculation:
Calculated formation energy (eV per atom): 2.733
E (eV/atom): -6.487
Energy above the lowest structure with this stoichiometry (meV per atom): 2650
Fermi-level density of states (states/eV per atom): 1.951

```
data_Tc3NiC
_chemical_formula_sum 'Tc3 Ni1 C1'
_space_group_name_H-M_alt 'P m -3 m'
_space_group_IT_number 221
_space_group_name_Hall '-P 4 2 3'
_cell_length_a 4.3981
_cell_length_b 4.3981
_cell_length_c 4.3981
_cell_angle_alpha 90.00
_cell_angle_beta 90.00
_cell_angle_gamma 90.00
loop_
_atom_site_label
_atom_site_type_symbol
_atom_site_fract_x
_atom_site_fract_y
_atom_site_fract_z
Tc1 Tc 0.0000 0.0000 0.5000
Ni1 Ni 0.0000 0.0000 0.0000
C1 C 0.5000 0.5000 0.5000
```

---

Entry 3:
## Mg2MnGaN (PBE)

Data for a geometry-optimized Mg2MnGaN structure.

Values from the calculation:
E (eV/atom): -4.983
Fermi-level density of states (states/eV per atom): 0.478
Uncorrected formation energy (meV per atom): -240

```
data_Mg2MnGaN
_chemical_formula_sum 'Mg2 Mn1 Ga1 N1'
_space_group_name_H-M_alt 'P 4/m m m'
_space_group_IT_number 123
_space_group_name_Hall '-P 4 2'
_cell_length_a 4.3368
_cell_length_b 4.3368
_cell_length_c 3.6714
_cell_angle_alpha 90.00
_cell_angle_beta 90.00
_cell_angle_gamma 90.00
loop_
_atom_site_label
_atom_site_type_symbol
_atom_site_fract_x
_atom_site_fract_y
_atom_site_fract_z
Mg1 Mg 0.0000 0.5000 0.0000
Mn1 Mn 0.0000 0.0000 0.5000
Ga1 Ga 0.5000 0.5000 0.5000
N1 N 0.0000 0.0000 0.0000
```

---

Entry 4:
## LaTbCu (PBE)

Data for a geometry-optimized LaTbCu structure.

Values from the calculation:
Calculated formation energy (eV per atom): 0.093
E (eV/atom): -4.458
Energy above the lowest structure with this stoichiometry (meV per atom): 189
Fermi-level density of states (states/eV per atom): 1.730

```
data_LaTbCu
_chemical_formula_sum 'La2 Tb2 Cu2'
_space_group_name_H-M_alt 'I m m 2'
_space_group_IT_number 44
_cell_length_a 4.9507
_cell_length_b 4.9945
_cell_length_c 7.0384
_cell_angle_alpha 90.00
_cell_angle_beta 90.00
_cell_angle_gamma 90.00
loop_
_space_group_symop_operation_xyz
'x,y,z'
'-x,-y,z'
'-x,y,z'
'x,-y,z'
'x+1/2,y+1/2,z+1/2'
'-x+1/2,-y+1/2,z+1/2'
'-x+1/2,y+1/2,z+1/2'
'x+1/2,-y+1/2,z+1/2'
loop_
_atom_site_label
_atom_site_type_symbol
_atom_site_fract_x
_atom_site_fract_y
_atom_site_fract_z
La1 La 0.0000 0.0000 0.0000
Tb1 Tb 0.0000 0.0000 0.5014
Cu1 Cu 0.0000 0.5000 0.7510
```

---

Entry 5:
## CsK2MgPb (PBE)

Data for a geometry-optimized CsK2MgPb structure.

Values from the calculation:
Calculated formation energy (eV per atom): 0.016
E (eV/atom): -1.654
Energy above the lowest structure with this stoichiometry (meV per atom): 0
Fermi-level density of states (states/eV per atom): 0.620

```
data_CsK2MgPb
_chemical_formula_sum 'Cs1 K2 Mg1 Pb1'
_space_group_name_H-M_alt 'P 4/m m m'
_space_group_IT_number 123
_space_group_name_Hall '-P 4 2'
_cell_length_a 7.0389
_cell_length_b 7.0389
_cell_length_c 5.6995
_cell_angle_alpha 90.00
_cell_angle_beta 90.00
_cell_angle_gamma 90.00
loop_
_atom_site_label
_atom_site_type_symbol
_atom_site_fract_x
_atom_site_fract_y
_atom_site_fract_z
Cs1 Cs 0.0000 0.0000 0.0000
K1 K 0.0000 0.5000 0.5000
Mg1 Mg 0.5000 0.5000 0.0000
Pb1 Pb 0.5000 0.5000 0.5000
```

---

Entry 6:
## Lu3Co2Si3 (PBE)

Data for a geometry-optimized Lu3Co2Si3 structure.

Values from the calculation:
E (eV/atom): -6.295
Fermi-level density of states (states/eV per atom): 0.785
Uncorrected formation energy (meV per atom): -789

```
data_Lu3Co2Si3
_chemical_formula_sum 'Lu12 Co8 Si12'
_space_group_name_H-M_alt 'C m c m'
_space_group_IT_number 63
_space_group_name_Hall '-C 2c 2'
_cell_length_a 4.0522
_cell_length_b 10.1455
_cell_length_c 13.3387
_cell_angle_alpha 90.00
_cell_angle_beta 90.00
_cell_angle_gamma 90.00
loop_
_atom_site_label
_atom_site_type_symbol
_atom_site_fract_x
_atom_site_fract_y
_atom_site_fract_z
Lu1 Lu 0.0000 0.0816 0.1119
Lu2 Lu 0.0000 0.3619 0.2500
Co1 Co 0.0000 0.2114 0.5855
Si1 Si 0.0000 0.3328 0.7500
Si2 Si 0.0000 0.3814 0.0391
```

---

Entry 7:
## NaMgNbHg2 (PBE)

Data for a geometry-optimized NaMgNbHg2 structure.

Values from the calculation:
Calculated formation energy (eV per atom): 1.135
E (eV/atom): -1.583
Fermi-level density of states (states/eV per atom): 1.217

```
data_NaMgNbHg2
_chemical_formula_sum 'Na1 Mg1 Nb1 Hg2'
_space_group_name_H-M_alt 'P 4/m m m'
_space_group_IT_number 123
_space_group_name_Hall '-P 4 2'
_cell_length_a 5.1860
_cell_length_b 5.1860
_cell_length_c 5.3847
_cell_angle_alpha 90.00
_cell_angle_beta 90.00
_cell_angle_gamma 90.00
loop_
_atom_site_label
_atom_site_type_symbol
_atom_site_fract_x
_atom_site_fract_y
_atom_site_fract_z
Na1 Na 0.0000 0.0000 0.0000
Mg1 Mg 0.5000 0.5000 0.5000
Nb1 Nb 0.0000 0.0000 0.5000
Hg1 Hg 0.0000 0.5000 0.0000
```

---

Entry 8:
## CsTc2F (PBE)

Data for a geometry-optimized CsTc2F structure.

Values from the calculation:
E (eV/atom): -5.679
Fermi-level density of states (states/eV per atom): 0.767
Uncorrected formation energy (meV per atom): 185

```
data_CsTc2F
_chemical_formula_sum 'Cs4 Tc8 F4'
_space_group_name_H-M_alt 'I -4 2 d'
_space_group_IT_number 122
_space_group_name_Hall 'I -4 2bw'
_cell_length_a 3.7370
_cell_length_b 3.7370
_cell_length_c 34.1847
_cell_angle_alpha 90.00
_cell_angle_beta 90.00
_cell_angle_gamma 90.00
loop_
_atom_site_label
_atom_site_type_symbol
_atom_site_fract_x
_atom_site_fract_y
_atom_site_fract_z
Cs1 Cs 0.0000 0.0000 0.0000
Tc1 Tc 0.1751 0.7500 0.6250
F1 F 0.0000 0.0000 0.5000
```

---

Number 6 is which compound?
Lu3Co2Si3

---

Copy entry 8 word for word.
## CsTc2F (PBE)

Data for a geometry-optimized CsTc2F structure.

Values from the calculation:
E (eV/atom): -5.679
Fermi-level density of states (states/eV per atom): 0.767
Uncorrected formation energy (meV per atom): 185

```
data_CsTc2F
_chemical_formula_sum 'Cs4 Tc8 F4'
_space_group_name_H-M_alt 'I -4 2 d'
_space_group_IT_number 122
_space_group_name_Hall 'I -4 2bw'
_cell_length_a 3.7370
_cell_length_b 3.7370
_cell_length_c 34.1847
_cell_angle_alpha 90.00
_cell_angle_beta 90.00
_cell_angle_gamma 90.00
loop_
_atom_site_label
_atom_site_type_symbol
_atom_site_fract_x
_atom_site_fract_y
_atom_site_fract_z
Cs1 Cs 0.0000 0.0000 0.0000
Tc1 Tc 0.1751 0.7500 0.6250
F1 F 0.0000 0.0000 0.5000
```